No. 1
PrEuSc2: relaxed, PBE.

Lattice parameters (Å, degrees): 5.556 5.556 5.556 60.00 60.00 60.00
Sites, in units of the cell vectors:
Pr: 0.000 0.000 0.000
Eu: 0.500 0.500 0.500
Sc: 0.250 0.250 0.250
Sc: 0.750 0.750 0.750

For the offset from the most stable computed form, the calculation gives 2.3 kJ per mole of atoms. Its space-group type is Fm-3m, No. 225. For the electronic total energy, the calculation gives -0.498 Ry/atom.

=====

No. 2
Al3Tl: relaxed, PBE.

Lattice parameters (Å, degrees): 5.141 5.141 3.154 90.00 90.00 90.00
Sites, in units of the cell vectors:
Al: 0.000 0.000 0.000
Al: 0.000 0.500 0.500
Al: 0.500 0.000 0.500
Tl: 0.500 0.500 0.000

For the offset from the most stable computed form, the calculation gives 13.2 kJ per mole of atoms. Its space-group type is P4/mmm, No. 123. For the electronic total energy, the calculation gives -0.227 Ry/atom.

=====

No. 3
Cs2AgHgSb: relaxed, PBE.

Lattice parameters (Å, degrees): 7.055 7.055 5.171 90.00 90.00 90.00
Sites, in units of the cell vectors:
Cs: 0.000 0.500 0.000
Cs: 0.500 0.000 0.000
Ag: 0.000 0.000 0.000
Hg: 0.500 0.500 0.500
Sb: 0.000 0.000 0.500

The value obtained for the uncorrected formation energy is -173 meV/atom. For the offset from the most stable computed form, the calculation gives 0.0 kJ per mole of atoms. Its space-group type is P4/mmm, No. 123. For the electronic total energy, the calculation gives -0.145 Ry/atom.

=====

No. 4
TaBI3: relaxed, PBE.

Lattice parameters (Å, degrees): 4.997 4.997 4.997 90.00 90.00 90.00
Sites, in units of the cell vectors:
Ta: 0.000 0.000 0.000
B: 0.500 0.500 0.500
I: 0.000 0.500 0.500
I: 0.500 0.000 0.500
I: 0.500 0.500 0.000

The value obtained for the uncorrected formation energy is 1434 meV/atom. For the offset from the most stable computed form, the calculation gives 21.3 kJ per mole of atoms. Its space-group type is Pm-3m, No. 221. For the electronic total energy, the calculation gives -0.235 Ry/atom.

=====

No. 5
CaAlSe: relaxed, PBE.

Lattice parameters (Å, degrees): 5.984 5.984 5.984 145.46 145.46 49.65
Sites, in units of the cell vectors:
Ca: 0.000 0.000 0.000
Al: 0.702 0.702 0.000
Se: 0.327 0.327 0.000

The value obtained for the uncorrected formation energy is -592 meV/atom. For the offset from the most stable computed form, the calculation gives 3.8 kJ per mole of atoms. Its space-group type is I4mm, No. 107. For the electronic total energy, the calculation gives -0.270 Ry/atom.

=====

No. 6
Hf2BPRu: relaxed, PBE.

Lattice parameters (Å, degrees): 4.961 4.961 3.914 90.00 90.00 90.00
Sites, in units of the cell vectors:
Hf: 0.000 0.500 0.000
Hf: 0.500 0.000 0.000
B: 0.000 0.000 0.500
P: 0.500 0.500 0.500
Ru: 0.000 0.000 0.000

Its space-group type is P4/mmm, No. 123. For the electronic total energy, the calculation gives -0.584 Ry/atom.

=====

No. 7
SmAgPdPt: relaxed, PBE.

Lattice parameters (Å, degrees): 4.806 4.806 4.806 60.00 60.00 60.00
Sites, in units of the cell vectors:
Sm: 0.000 0.000 0.000
Ag: 0.500 0.500 0.500
Pd: 0.250 0.250 0.250
Pt: 0.750 0.750 0.750

For the offset from the most stable computed form, the calculation gives 6.6 kJ per mole of atoms. Its space-group type is F-43m, No. 216. For the electronic total energy, the calculation gives -0.391 Ry/atom.

=====

No. 8
Er2Be4AlIr3: relaxed, PBE.

Lattice parameters (Å, degrees): 3.814 3.814 10.185 90.00 90.00 90.00
Sites, in units of the cell vectors:
Er: 0.000 0.500 0.241
Er: 0.500 0.000 0.759
Be: 0.000 0.000 0.000
Be: 0.000 0.500 0.642
Be: 0.500 0.000 0.358
Be: 0.500 0.500 0.000
Al: 0.000 0.000 0.500
Ir: 0.000 0.500 0.872
Ir: 0.500 0.000 0.128
Ir: 0.500 0.500 0.500

Its space-group type is P-4m2, No. 115. For the electronic total energy, the calculation gives -0.444 Ry/atom.

=====

No. 9
Cs2BaBeIr: relaxed, PBE.

Lattice parameters (Å, degrees): 6.706 6.706 4.457 90.00 90.00 90.00
Sites, in units of the cell vectors:
Cs: 0.000 0.500 0.000
Cs: 0.500 0.000 0.000
Ba: 0.000 0.000 0.500
Be: 0.500 0.500 0.500
Ir: 0.500 0.500 0.000

Its space-group type is P4/mmm, No. 123. For the electronic total energy, the calculation gives -0.183 Ry/atom.

=====

No. 10
VHgH: relaxed, PBE.

Lattice parameters (Å, degrees): 3.731 3.731 6.311 90.00 90.00 90.00
Sites, in units of the cell vectors:
V: 0.250 0.250 0.088
V: 0.750 0.750 0.912
Hg: 0.250 0.750 0.500
Hg: 0.750 0.250 0.500
H: 0.250 0.250 0.821
H: 0.750 0.750 0.179

For the offset from the most stable computed form, the calculation gives 73.2 kJ per mole of atoms. Its space-group type is P4/nmm, No. 129. For the electronic total energy, the calculation gives -0.256 Ry/atom.

=====

No. 11
ReHg2Pt2: relaxed, PBE.

Lattice parameters (Å, degrees): 6.702 6.702 4.269 90.00 90.00 90.00
Sites, in units of the cell vectors:
Re: 0.000 0.000 0.000
Re: 0.500 0.500 0.000
Hg: 0.171 0.329 0.500
Hg: 0.329 0.829 0.500
Hg: 0.671 0.171 0.500
Hg: 0.829 0.671 0.500
Pt: 0.138 0.638 0.000
Pt: 0.362 0.138 0.000
Pt: 0.638 0.862 0.000
Pt: 0.862 0.362 0.000

For the offset from the most stable computed form, the calculation gives 0.0 kJ per mole of atoms. Its space-group type is P4/mbm, No. 127. For the electronic total energy, the calculation gives -0.329 Ry/atom.

=====

No. 12
AcLaIn2: relaxed, PBE.

Lattice parameters (Å, degrees): 10.420 10.420 10.420 22.27 22.27 22.27
Sites, in units of the cell vectors:
Ac: 0.000 0.000 0.000
La: 0.500 0.500 0.500
In: 0.247 0.247 0.247
In: 0.753 0.753 0.753

Its space-group type is R-3m, No. 166. For the electronic total energy, the calculation gives -0.287 Ry/atom.

=====

The lowest electronic total energy belongs to which entry?
Hf2BPRu

=====

Which of these has the highest electronic total energy?
Cs2AgHgSb